[1]
Zr5Sb3As | meta-GGA SCAN | PBEsol geometry

abc: 5.860 8.557 8.557
angles: 120.00 90.00 90.00
Positions (direct):
As 0.000 0.000 0.000
As 0.500 0.000 0.000
Sb 0.750 0.000 0.395
Sb 0.750 0.395 0.000
Sb 0.750 0.605 0.605
Sb 0.250 0.000 0.605
Sb 0.250 0.605 0.000
Sb 0.250 0.395 0.395
Zr 0.000 0.333 0.667
Zr 0.500 0.667 0.333
Zr 0.000 0.667 0.333
Zr 0.500 0.333 0.667
Zr 0.750 0.000 0.737
Zr 0.750 0.737 0.000
Zr 0.750 0.263 0.263
Zr 0.250 0.000 0.263
Zr 0.250 0.263 0.000
Zr 0.250 0.737 0.737

## Properties
- Magnetization: 0.00 μB/f.u.
- DOS at the Fermi energy: 10.79 states/eV per cell
- E_form (uncorrected): -946 meV per atom
- VASP energy: -32.66 eV/atom


[2]
ZrSb2As | meta-GGA SCAN | PBEsol geometry

abc: 3.190 3.190 9.307
angles: 90.00 90.00 102.58
Positions (direct):
Sb 0.000 0.000 0.017
Sb 0.500 0.500 0.715
As 0.500 0.500 0.288
Zr 0.000 0.000 0.480

## Properties
- Magnetization: 0.00 μB/f.u.
- DOS at the Fermi energy: 2.84 states/eV per cell
- E_form (uncorrected): -161 meV per atom
- VASP energy: -31.51 eV/atom


[3]
ZrSb2As | meta-GGA SCAN | PBEsol geometry

abc: 3.525 5.004 5.004
angles: 90.00 90.00 90.00
Positions (direct):
Sb 0.000 0.000 0.500
Sb 0.000 0.500 0.000
As 0.500 0.000 0.000
Zr 0.500 0.500 0.500

## Properties
- Magnetization: 0.00 μB/f.u.
- DOS at the Fermi energy: 3.10 states/eV per cell
- E_form (uncorrected): -62 meV per atom
- VASP energy: -31.41 eV/atom


[4]
ZrSb2As | meta-GGA SCAN | PBEsol geometry

abc: 3.714 4.487 5.811
angles: 94.90 108.63 90.00
Positions (direct):
Sb 0.221 0.237 0.441
Sb 0.779 0.763 0.559
As 0.000 0.500 0.000
Zr 0.500 0.000 0.000

## Properties
- Magnetization: 0.00 μB/f.u.
- DOS at the Fermi energy: 2.41 states/eV per cell
- E_form (uncorrected): -221 meV per atom
- VASP energy: -31.57 eV/atom


[5]
ScAs3 | meta-GGA SCAN | PBEsol geometry

abc: 3.641 3.641 7.062
angles: 90.00 90.00 120.00
Positions (direct):
As 0.000 0.000 0.249
As 0.000 0.000 0.751
As 0.333 0.667 0.000
Sc 0.333 0.667 0.500

## Properties
- Magnetization: 0.00 μB/f.u.
- DOS at the Fermi energy: 1.68 states/eV per cell
- Energy relative to the elements: -1.18 eV per formula unit
- VASP energy: -19.00 eV/atom


[6]
ScAs4 | meta-GGA SCAN | PBEsol geometry

abc: 5.222 5.222 5.222
angles: 109.47 109.47 109.47
Positions (direct):
As 0.000 0.000 0.500
As 0.000 0.500 0.000
As 0.500 0.000 0.000
As 0.500 0.500 0.500
Sc 0.000 0.000 0.000

## Properties
- Magnetization: 0.00 μB/f.u.
- DOS at the Fermi energy: 2.65 states/eV per cell
- Energy relative to the elements: -0.68 eV per formula unit
- VASP energy: -19.14 eV/atom


[7]
ScAs3 | meta-GGA SCAN | PBEsol geometry

abc: 5.275 5.275 5.275
angles: 90.00 90.00 90.00
Positions (direct):
As 0.750 0.500 0.000
As 0.250 0.500 0.000
As 0.000 0.750 0.500
As 0.000 0.250 0.500
As 0.500 0.000 0.250
As 0.500 0.000 0.750
Sc 0.000 0.000 0.000
Sc 0.500 0.500 0.500

## Properties
- Magnetization: 0.00 μB/f.u.
- DOS at the Fermi energy: 6.65 states/eV per cell
- Energy relative to the elements: -1.36 eV per formula unit
- VASP energy: -19.04 eV/atom


[8]
Sc7As3 | meta-GGA SCAN | PBEsol geometry

abc: 7.964 10.823 10.823
angles: 82.22 68.41 68.41
Positions (direct):
Sc 0.971 0.164 0.500
Sc 0.635 0.836 0.500
Sc 0.135 0.500 0.836
Sc 0.471 0.500 0.164
Sc 0.029 0.836 0.500
Sc 0.365 0.164 0.500
Sc 0.865 0.500 0.164
Sc 0.529 0.500 0.836
Sc 0.875 0.244 0.006
Sc 0.125 0.756 0.994
Sc 0.625 0.994 0.756
Sc 0.375 0.006 0.244
Sc 0.881 0.994 0.244
Sc 0.119 0.006 0.756
Sc 0.381 0.244 0.994
Sc 0.619 0.756 0.006
Sc 0.980 0.348 0.691
Sc 0.020 0.652 0.309
Sc 0.520 0.309 0.652
Sc 0.480 0.691 0.348
Sc 0.672 0.309 0.348
Sc 0.328 0.691 0.652
Sc 0.172 0.348 0.309
Sc 0.828 0.652 0.691
Sc 0.750 0.000 0.000
Sc 0.250 0.000 0.000
Sc 0.250 0.500 0.500
Sc 0.750 0.500 0.500
As 0.750 0.195 0.805
As 0.750 0.805 0.195
As 0.250 0.195 0.805
As 0.250 0.805 0.195
As 0.555 0.195 0.195
As 0.945 0.805 0.805
As 0.055 0.195 0.195
As 0.445 0.805 0.805
As 0.280 0.941 0.500
As 0.720 0.059 0.500
As 0.220 0.500 0.059
As 0.780 0.500 0.941

## Properties
- Magnetization: 0.00 μB/f.u.
- DOS at the Fermi energy: 31.46 states/eV per cell
- Energy relative to the elements: -9.74 eV per formula unit
- VASP energy: -17.00 eV/atom